Entry 1:
An optimized crystal structure of Cu2Br, computed with GGA-PBE. Values from VASP.

Output
SG: P6/mmm, No. 191

Quantum ESPRESSO input file:
```
&SYSTEM
  ibrav = 0, nat = 3, ntyp = 2
/
ATOMIC_SPECIES
Cu 63.55 Cu.upf
Br 79.90 Br.upf
CELL_PARAMETERS angstrom
-1.8162 0.7729 3.6590
3.2773 -2.5506 -0.1964
2.2215 2.8154 0.5080
ATOMIC_POSITIONS angstrom
Cu 0.9924 1.0728 2.6279
Cu 2.6902 -0.0351 1.3427
Br 0.0000 0.0000 0.0000
```

Entry 2:
An optimized crystal structure of NbRh2O, computed with GGA-PBE. Values from VASP.

Output
SG: I-42d, No. 122

Quantum ESPRESSO input file:
```
&SYSTEM
  ibrav = 0, nat = 8, ntyp = 3
/
ATOMIC_SPECIES
Rh 102.91 Rh.upf
Nb 92.91 Nb.upf
O 16.00 O.upf
CELL_PARAMETERS angstrom
5.2144 0.0000 0.0000
0.0000 5.2144 0.0000
2.6072 2.6072 5.1252
ATOMIC_POSITIONS angstrom
Rh 3.9108 4.2628 3.8439
Rh 1.6556 3.9108 1.2813
Rh 3.5588 1.3036 1.2813
Rh 6.5180 6.1660 3.8439
Nb 0.0000 0.0000 0.0000
Nb 5.2144 2.6072 2.5626
O 2.6072 2.6072 0.0000
O 2.6072 5.2144 2.5626
```

no.,formation energy (no corrections) (eV per atom),spin magnetization (μB/cell)
1,0.53,0.00
2,0.02,0.00